# 1
Compound: LuIn2Pd
Source: the Alexandria database
Functional: GGA-PBE
Structure: optimized geometry

```
4
Lattice="2.309 1.333 4.823 -2.309 1.333 4.823 0.000 -2.666 4.823" Properties=species:S:1:pos:R:3 pbc="T T T"
Lu 0.000 0.000 0.000
In 0.000 0.000 3.301
In 0.000 0.000 11.169
Pd 0.000 0.000 7.235
```

Calculated values
symmetry: R-3m
density: 9.5 Mg/m³


# 2
Compound: LuInPdPt
Source: the Alexandria database
Functional: GGA-PBE
Structure: optimized geometry

```
4
Lattice="0.000 3.355 3.355 3.355 0.000 3.355 3.355 3.355 0.000" Properties=species:S:1:pos:R:3 pbc="T T T"
Lu 0.000 0.000 0.000
In 3.355 3.355 3.355
Pd 5.033 5.033 5.033
Pt 1.678 1.678 1.678
```

Calculated values
symmetry: F-43m
density: 13.0 Mg/m³


Computed spin magnetization, in the same sequence as the records: 0.0 0.0 μB per cell.
Computed ΔH_f (0 K), in the same sequence as the records: -0.412 -0.931 eV per atom.
Computed final energy, in the same sequence as the records: -4.21 -5.55 eV per atom.